No. 1
Entry from Alexandria via LeMat-Bulk: a relaxed Rb2N2Cl5 crystal (PBE).

Its crystal system is orthorhombic. The density of states at the Fermi level is 1.649 states/eV/f.u. As for the formation energy (no corrections): -0.21 eV/atom. For the total energy, the calculation gives -59.33 eV per cell.

The space group is Amm2 (No. 38) and the conventional cell measures 10.517, 6.371 and 8.160 Å, with angles of 90.00, 90.00 and 90.00 degrees. Symmetry generates all atoms from Rb at (0.000, 0.000, 0.000), Rb at (0.500, 0.000, 0.048), N at (0.363, 0.000, 0.704), Cl at (0.000, 0.000, 0.394) and Cl at (0.284, 0.222, 0.782).

---

No. 2
Entry from Alexandria via LeMat-Bulk: a relaxed Tb2PmSm6Y crystal (PBE).

Its crystal system is monoclinic. The density of states at the Fermi level is 14.706 states/eV/f.u. For the total energy, the calculation gives -190.48 eV per cell.

The space group is C2/c (No. 15) and the conventional cell measures 9.166, 15.313 and 9.725 Å, with angles of 90.00, 97.98 and 90.00 degrees. Symmetry generates all atoms from Tb at (0.246, 0.052, 0.044), Pm at (0.000, 0.407, 0.250), Sm at (0.063, 0.183, 0.445), Sm at (0.103, 0.394, 0.621), Sm at (0.205, 0.226, 0.815) and Y at (0.000, 0.025, 0.750).